VASP calculation (GGA+U) on a relaxed Tl3V2PbO8 crystal.

The structure belongs to space group P-3m1 (No. 164); the cell edges are 6.1041, 6.1041 and 7.8624 Å and the angles 90.00°, 90.00° and 120.00°. The inequivalent atoms are Tl at (0.0000, 0.0000, 0.0000), Tl at (0.3333, 0.6667, 0.7066), V at (0.3333, 0.6667, 0.2369), Pb at (0.0000, 0.0000, 0.5000), O at (0.1740, 0.3480, 0.3053) and O at (0.3333, 0.6667, 0.0213).

As for the final energy: -84.60 eV for the cell shown.